[1]
{"formula": "BaRe2Hg", "functional": "GGA-PBE", "state": "relaxed", "lattice_angstrom": [[2.9408, 0.0000, 0.0000], [0.0000, 4.6350, 0.0000], [0.0000, 0.0000, 6.9767]], "species": ["Ba", "Re", "Re", "Hg"], "fractional_positions": [[0.0000, 0.0000, 0.0000], [0.5000, 0.5000, 0.3351], [0.5000, 0.5000, 0.6649], [0.0000, 0.0000, 0.5000]], "rho_g_cm3": 12.4, "total_magnetization_mub_per_fu": 0.000, "e_form_ev_per_atom": 1.112, "total_energy_ev_per_atom": -5.668}

=====

[2]
{"formula": "KLi2Mn", "functional": "GGA-PBE", "state": "relaxed", "lattice_angstrom": [[-1.6220, 3.0499, 5.6515], [1.6220, -3.0499, 5.6515], [1.6220, 3.0499, -5.6515]], "species": ["K", "Li", "Li", "Mn"], "fractional_positions": [[0.0000, 0.0000, 0.0000], [0.2903, 0.7903, 0.5000], [0.7097, 0.2097, 0.5000], [0.5000, 0.5000, 0.0000]], "rho_g_cm3": 1.6, "total_magnetization_mub_per_fu": 4.202, "e_above_lowest_polymorph_mev_per_atom": 111, "e_form_ev_per_atom": 0.570, "total_energy_ev_per_atom": -2.953}

=====

[3]
{"formula": "KNaIn2", "functional": "GGA-PBE", "state": "relaxed", "lattice_angstrom": [[2.6102, -6.2320, 0.0000], [2.6102, 6.2320, 0.0000], [0.0000, 0.0000, 8.7371]], "species": ["K", "K", "Na", "Na", "In", "In", "In", "In"], "fractional_positions": [[0.0619, 0.9381, 0.7500], [0.9381, 0.0619, 0.2500], [0.3655, 0.6345, 0.7500], [0.6345, 0.3655, 0.2500], [0.2581, 0.7419, 0.0834], [0.2581, 0.7419, 0.4166], [0.7419, 0.2581, 0.5834], [0.7419, 0.2581, 0.9166]], "rho_g_cm3": 3.4, "total_magnetization_mub_per_fu": 0.000, "e_above_lowest_polymorph_mev_per_atom": 0, "e_form_ev_per_atom": -0.100, "total_energy_ev_per_atom": -2.074}

=====

[4]
{"formula": "LaErTm2", "functional": "GGA-PBE", "state": "relaxed", "lattice_angstrom": [[4.0467, 0.0000, 0.0000], [0.0000, 4.0467, 0.0000], [0.0000, 0.0000, 7.9542]], "species": ["La", "Er", "Tm", "Tm"], "fractional_positions": [[0.0000, 0.0000, 0.0000], [0.0000, 0.0000, 0.5000], [0.5000, 0.5000, 0.2678], [0.5000, 0.5000, 0.7322]], "rho_g_cm3": 8.2, "total_magnetization_mub_per_fu": 0.000, "e_above_lowest_polymorph_mev_per_atom": 85, "e_form_ev_per_atom": 0.097, "total_energy_ev_per_atom": -4.511}

=====

[5]
{"formula": "Mg3GaF", "functional": "GGA-PBE", "state": "relaxed", "lattice_angstrom": [[4.4736, 0.0000, 0.0000], [0.0000, 4.4736, 0.0000], [0.0000, 0.0000, 4.4736]], "species": ["Mg", "Mg", "Mg", "Ga", "F"], "fractional_positions": [[0.0000, 0.0000, 0.5000], [0.0000, 0.5000, 0.0000], [0.5000, 0.0000, 0.0000], [0.5000, 0.5000, 0.5000], [0.0000, 0.0000, 0.0000]], "rho_g_cm3": 3.0, "total_magnetization_mub_per_fu": 0.000, "e_above_lowest_polymorph_mev_per_atom": 0, "total_energy_ev_per_atom": -2.733, "e_form_raw_ev_per_atom": -0.80}

=====

[6]
{"formula": "TaZnCoIr", "functional": "GGA-PBE", "state": "relaxed", "lattice_angstrom": [[-2.0252, 2.0252, 3.4561], [2.0252, -2.0252, 3.4561], [2.0252, 2.0252, -3.4561]], "species": ["Ta", "Zn", "Co", "Ir"], "fractional_positions": [[0.0000, 0.0000, 0.0000], [0.5000, 0.5000, 0.0000], [0.2500, 0.7500, 0.5000], [0.7500, 0.2500, 0.5000]], "rho_g_cm3": 14.6, "total_magnetization_mub_per_fu": 0.000, "e_form_ev_per_atom": -0.388, "total_energy_ev_per_atom": -7.661}

=====

[7]
{"formula": "Sc2TcRh", "functional": "GGA-PBE", "state": "relaxed", "lattice_angstrom": [[1.5840, 0.9145, 8.0499], [-1.5840, 0.9145, 8.0499], [0.0000, -1.8290, 8.0499]], "species": ["Sc", "Sc", "Tc", "Rh"], "fractional_positions": [[0.2487, 0.2487, 0.2487], [0.7513, 0.7513, 0.7513], [0.5000, 0.5000, 0.5000], [0.0000, 0.0000, 0.0000]], "rho_g_cm3": 6.9, "total_magnetization_mub_per_fu": 0.000, "e_form_ev_per_atom": -0.282, "total_energy_ev_per_atom": -7.877}

=====

[8]
{"formula": "NaNd2InSe5", "functional": "GGA-PBE", "state": "relaxed", "lattice_angstrom": [[2.0813, -9.0698, 0.0000], [2.0813, 9.0698, 0.0000], [0.0000, 0.0000, 12.3759]], "species": ["Na", "Na", "Nd", "Nd", "Nd", "Nd", "In", "In", "Se", "Se", "Se", "Se", "Se", "Se", "Se", "Se", "Se", "Se"], "fractional_positions": [[0.2113, 0.7887, 0.5000], [0.7887, 0.2113, 0.0000], [0.1201, 0.8799, 0.1695], [0.1351, 0.8649, 0.7957], [0.8649, 0.1351, 0.2957], [0.8799, 0.1201, 0.6695], [0.4381, 0.5619, 0.9477], [0.5619, 0.4381, 0.4477], [0.0433, 0.9567, 0.5707], [0.2911, 0.7089, 0.1664], [0.3160, 0.6840, 0.8287], [0.3663, 0.6337, 0.4897], [0.4956, 0.5044, 0.2625], [0.5044, 0.4956, 0.7625], [0.6337, 0.3663, 0.9897], [0.6840, 0.3160, 0.3287], [0.7089, 0.2911, 0.6664], [0.9567, 0.0433, 0.0707]], "rho_g_cm3": 5.8, "total_magnetization_mub_per_fu": 0.000, "total_energy_ev_per_atom": -4.811, "e_form_raw_ev_per_atom": -1.37}